Cs2Ba2NbSe6 | PBE | relaxed

abc: 7.684 7.684 8.826
angles: 99.16 99.16 117.83
Positions (direct):
Nb 0.000 0.000 0.500
Cs 0.177 0.823 0.000
Cs 0.823 0.177 0.000
Se 0.797 0.797 0.687
Se 0.660 0.935 0.314
Se 0.065 0.340 0.686
Se 0.340 0.065 0.686
Se 0.203 0.203 0.313
Se 0.935 0.660 0.314
Ba 0.336 0.664 0.500
Ba 0.664 0.336 0.500

Uncorrected energy, eV/cell: -49.80
E_form (uncorrected), eV per atom: -1.207
N(E_F), states/eV per cell: 14.9